[1]
First-principles (PBE) data for a relaxed SmMgRhPb crystal, as listed in the Alexandria database. Values from VASP.

Energy of formation: -133 kJ/mol of formula units
V: 22.4 Å³/atom
Size of the total moment: 0.000 μB per atom
Space-group type: F-43m (216)

Cell and atoms, written as Quantum ESPRESSO input:
```
&SYSTEM
  ibrav = 0, nat = 16, ntyp = 4
/
ATOMIC_SPECIES
Sm 150.36 Sm.upf
Mg 24.30 Mg.upf
Rh 102.91 Rh.upf
Pb 207.20 Pb.upf
ATOMIC_POSITIONS crystal
Sm 0.000 0.000 0.000
Sm 0.000 0.500 0.500
Sm 0.500 0.000 0.500
Sm 0.500 0.500 0.000
Mg 0.000 0.000 0.500
Mg 0.000 0.500 0.000
Mg 0.500 0.000 0.000
Mg 0.500 0.500 0.500
Rh 0.250 0.250 0.250
Rh 0.250 0.750 0.750
Rh 0.750 0.250 0.750
Rh 0.750 0.750 0.250
Pb 0.250 0.250 0.750
Pb 0.250 0.750 0.250
Pb 0.750 0.250 0.250
Pb 0.750 0.750 0.750
CELL_PARAMETERS angstrom
7.107 0.000 0.000
0.000 7.107 0.000
0.000 0.000 7.107
```



[2]
First-principles (PBE) data for a relaxed SbTe2AsPb crystal, as listed in the Alexandria database. Values from VASP.

Excess energy over the best structure of this formula in the dataset: 0 meV per atom
V: 32.7 Å³/atom
Size of the total moment: 0.000 μB per atom
Space-group type: P4/mmm (123)

Cell and atoms, written as Quantum ESPRESSO input:
```
&SYSTEM
  ibrav = 0, nat = 5, ntyp = 4
/
ATOMIC_SPECIES
Sb 121.76 Sb.upf
Te 127.60 Te.upf
As 74.92 As.upf
Pb 207.20 Pb.upf
ATOMIC_POSITIONS crystal
Sb 0.000 0.000 0.000
Te 0.000 0.500 0.500
Te 0.500 0.000 0.500
As 0.000 0.000 0.500
Pb 0.500 0.500 0.000
CELL_PARAMETERS angstrom
5.585 0.000 0.000
0.000 5.585 0.000
0.000 0.000 5.249
```



[3]
First-principles (PBE) data for a relaxed SrTlB2F8 crystal, as listed in the Alexandria database. Values from VASP.

Calculated total energy: -65.8 eV/cell
V: 19.8 Å³/atom
Size of the total moment: 0.046 μB per atom
Space-group type: R-3 (148)

Cell and atoms, written as Quantum ESPRESSO input:
```
&SYSTEM
  ibrav = 0, nat = 12, ntyp = 4
/
ATOMIC_SPECIES
Sr 87.62 Sr.upf
Tl 204.38 Tl.upf
B 10.81 B.upf
F 19.00 F.upf
ATOMIC_POSITIONS crystal
Sr 0.000 0.000 0.000
Tl 0.500 0.500 0.500
B 0.264 0.264 0.264
B 0.736 0.736 0.736
F 0.051 0.265 0.536
F 0.214 0.214 0.214
F 0.265 0.536 0.051
F 0.464 0.949 0.735
F 0.536 0.051 0.265
F 0.735 0.464 0.949
F 0.786 0.786 0.786
F 0.949 0.735 0.464
CELL_PARAMETERS angstrom
2.751 1.588 9.042
-2.751 1.588 9.042
0.000 -3.177 9.042
```



[4]
First-principles (PBE) data for a relaxed LiYAs2 crystal, as listed in the Alexandria database. Values from VASP.

Energy of formation: -308 kJ/mol of formula units
Excess energy over the best structure of this formula in the dataset: 52 meV per atom
V: 20.1 Å³/atom
Size of the total moment: 0.000 μB per atom
Space-group type: P4mm (99)

Cell and atoms, written as Quantum ESPRESSO input:
```
&SYSTEM
  ibrav = 0, nat = 4, ntyp = 3
/
ATOMIC_SPECIES
Li 6.94 Li.upf
Y 88.91 Y.upf
As 74.92 As.upf
ATOMIC_POSITIONS crystal
Li 0.000 0.000 0.000
Y 0.500 0.500 0.004
As 0.000 0.500 0.504
As 0.500 0.000 0.504
CELL_PARAMETERS angstrom
4.540 0.000 0.000
0.000 4.540 0.000
0.000 0.000 3.898
```